Hg2Os, relaxed, DFT PBE; calculated volume = 111.6 Å³/cell; symmetry = R32; formation energy = 872 meV/atom
1.0
2.551 1.473 4.953
-2.551 1.473 4.953
0.000 -2.945 4.953
Hg Os
4 2
direct
0.000 0.000 0.000
0.176 0.824 0.500
0.500 0.176 0.824
0.824 0.500 0.176
0.325 0.325 0.325
0.675 0.675 0.675